# 1
# La2PrGa3, relaxed, DFT PBE
# * ρ: 6.55 g cm⁻³
# * DFT formation energy: -12.886 kcal/mol of atoms
# * DFT total energy: -27.07 eV/f.u.
data_La2PrGa3
_symmetry_space_group_name_H-M 'C m m m'
_symmetry_Int_Tables_number 65
_symmetry_space_group_name_Hall '-C 2 2'
_cell_length_a 5.311
_cell_length_b 15.960
_cell_length_c 7.515
_cell_angle_alpha 90.00
_cell_angle_beta 90.00
_cell_angle_gamma 90.00
loop_
_atom_site_label
_atom_site_fract_x
_atom_site_fract_y
_atom_site_fract_z
_atom_site_occupancy
La1 0.000 0.000 0.000 1
La2 0.000 0.000 0.500 1
La3 0.000 0.335 0.000 1
Pr1 0.000 0.333 0.500 1
Ga1 0.000 0.168 0.254 1
Ga2 0.000 0.500 0.255 1

***

# 2
# Mg2SnRhW, relaxed, DFT PBE
# * ρ: 6.11 g cm⁻³
# * DFT formation energy: 36.625 kcal/mol of atoms
# * DFT total energy: -19.56 eV/f.u.
data_Mg2SnRhW
_symmetry_space_group_name_H-M 'P 4/m m m'
_symmetry_Int_Tables_number 123
_symmetry_space_group_name_Hall '-P 4 2'
_cell_length_a 4.939
_cell_length_b 4.939
_cell_length_c 5.062
_cell_angle_alpha 90.00
_cell_angle_beta 90.00
_cell_angle_gamma 90.00
loop_
_atom_site_label
_atom_site_fract_x
_atom_site_fract_y
_atom_site_fract_z
_atom_site_occupancy
Mg1 0.000 0.500 0.000 1
Sn1 0.000 0.000 0.000 1
Rh1 0.500 0.500 0.500 1
W1 0.000 0.000 0.500 1

***

# 3
# Pm3Dy2Ag2, relaxed, DFT PBE
# * ρ: 8.23 g cm⁻³
# * DFT formation energy: 1.013 kcal/mol of atoms
# * excess energy over the best structure of this formula in the dataset: 0.159 eV/atom
# * DFT total energy: -28.85 eV/f.u.
data_Pm3Dy2Ag2
_symmetry_space_group_name_H-M 'C m m m'
_symmetry_Int_Tables_number 65
_symmetry_space_group_name_Hall '-C 2 2'
_cell_length_a 4.848
_cell_length_b 23.411
_cell_length_c 3.470
_cell_angle_alpha 90.00
_cell_angle_beta 90.00
_cell_angle_gamma 90.00
loop_
_atom_site_label
_atom_site_fract_x
_atom_site_fract_y
_atom_site_fract_z
_atom_site_occupancy
Pm1 0.000 0.000 0.000 1
Pm2 0.000 0.139 0.000 1
Dy1 0.000 0.292 0.500 1
Ag1 0.000 0.430 0.500 1

***

# 4
# Ag6PtAu12, relaxed, DFT PBE
# * ρ: 15.71 g cm⁻³
# * DFT formation energy: -0.477 kcal/mol of atoms
# * excess energy over the best structure of this formula in the dataset: 0.000 eV/atom
# * DFT total energy: -62.87 eV/f.u.
data_Ag6PtAu12
_symmetry_space_group_name_H-M 'R -3'
_symmetry_Int_Tables_number 148
_symmetry_space_group_name_Hall '-R 3'
_cell_length_a 12.7716
_cell_length_b 12.7716
_cell_length_c 7.1954
_cell_angle_alpha 90.00
_cell_angle_beta 90.00
_cell_angle_gamma 120.00
loop_
_atom_site_label
_atom_site_fract_x
_atom_site_fract_y
_atom_site_fract_z
_atom_site_occupancy
Ag1 0.0181 0.8784 0.1668 1
Pt1 0.0000 0.0000 0.5000 1
Au1 0.0348 0.7539 0.8335 1
Au2 0.0728 0.5120 0.1682 1

***

# 5
# SrTeI2F, relaxed, DFT PBE
# * ρ: 2.97 g cm⁻³
# * energy relative to the elements, uncorrected: -2.29 eV/f.u.
# * excess energy over the best structure of this formula in the dataset: 0.510 eV/atom
# * DFT total energy: -12.09 eV/f.u.
data_SrTeI2F
_symmetry_space_group_name_H-M 'P 4/m m m'
_symmetry_Int_Tables_number 123
_symmetry_space_group_name_Hall '-P 4 2'
_cell_length_a 6.319
_cell_length_b 6.319
_cell_length_c 6.840
_cell_angle_alpha 90.00
_cell_angle_beta 90.00
_cell_angle_gamma 90.00
loop_
_atom_site_label
_atom_site_fract_x
_atom_site_fract_y
_atom_site_fract_z
_atom_site_occupancy
Sr1 0.000 0.000 0.000 1
Te1 0.000 0.000 0.500 1
I1 0.000 0.500 0.000 1
F1 0.500 0.500 0.500 1

***

# 6
# NaSiIN2, relaxed, DFT PBE
# * ρ: 3.83 g cm⁻³
# * energy relative to the elements, uncorrected: 2.19 eV/f.u.
# * excess energy over the best structure of this formula in the dataset: 0.000 eV/atom
# * DFT total energy: -22.75 eV/f.u.
data_NaSiIN2
_symmetry_space_group_name_H-M 'P 4/m m m'
_symmetry_Int_Tables_number 123
_symmetry_space_group_name_Hall '-P 4 2'
_cell_length_a 3.684
_cell_length_b 3.684
_cell_length_c 6.583
_cell_angle_alpha 90.00
_cell_angle_beta 90.00
_cell_angle_gamma 90.00
loop_
_atom_site_label
_atom_site_fract_x
_atom_site_fract_y
_atom_site_fract_z
_atom_site_occupancy
Na1 0.000 0.000 0.000 1
Si1 0.500 0.500 0.500 1
I1 0.500 0.500 0.000 1
N1 0.000 0.500 0.500 1

***

# 7
# Sr2PaBeO6, relaxed, DFT PBE
# * ρ: 5.56 g cm⁻³
# * energy relative to the elements, uncorrected: -28.63 eV/f.u.
# * DFT total energy: -74.97 eV/f.u.
data_Sr2PaBeO6
_symmetry_space_group_name_H-M 'P 1'
_symmetry_Int_Tables_number 1
_symmetry_space_group_name_Hall 'P 1'
_cell_length_a 4.989
_cell_length_b 6.080
_cell_length_c 6.188
_cell_angle_alpha 116.43
_cell_angle_beta 105.59
_cell_angle_gamma 99.71
loop_
_atom_site_label
_atom_site_fract_x
_atom_site_fract_y
_atom_site_fract_z
_atom_site_occupancy
Sr1 0.000 0.000 0.000 1
Sr2 0.343 0.409 0.788 1
Pa1 0.213 0.717 0.397 1
Be1 0.622 0.294 0.344 1
O1 0.426 0.422 0.220 1
O2 0.451 0.093 0.398 1
O3 0.458 0.825 0.779 1
O4 0.949 0.370 0.386 1
O5 0.967 0.584 0.009 1
O6 0.990 0.955 0.580 1

***

# 8
# Dy12Be3Cu5, relaxed, DFT PBE
# * ρ: 6.88 g cm⁻³
# * DFT formation energy: 8.047 kcal/mol of atoms
# * DFT total energy: -79.91 eV/f.u.
data_Dy12Be3Cu5
_symmetry_space_group_name_H-M 'I a -3 d'
_symmetry_Int_Tables_number 230
_symmetry_space_group_name_Hall '-I 4bd 2c 3'
_cell_length_a 16.422
_cell_length_b 16.422
_cell_length_c 16.422
_cell_angle_alpha 90.00
_cell_angle_beta 90.00
_cell_angle_gamma 90.00
loop_
_atom_site_label
_atom_site_fract_x
_atom_site_fract_y
_atom_site_fract_z
_atom_site_occupancy
Dy1 0.019 0.071 0.651 1
Be1 0.000 0.250 0.125 1
Cu1 0.000 0.000 0.000 1
Cu2 0.000 0.250 0.375 1

***

Q: Among the records above, which one has the lowest DFT total energy?
A: Dy12Be3Cu5